# 1
# PRuBr3

PRuBr3 after structural relaxation (PBE, Alexandria).

Unit cell a=5.1007 b=5.1007 c=5.1007 alpha=90.00 beta=90.00 gamma=90.00
With the nearest neighbours (Å) after each atom.
Fractional coordinates of all 5 atoms:
Br 0.5000 0.0000 0.0000  2 Ru 2.55
Ru 0.0000 0.0000 0.0000  6 Br 2.55
P 0.5000 0.5000 0.5000  12 Br 3.61
Br 0.0000 0.0000 0.5000  2 Ru 2.55
Br 0.0000 0.5000 0.0000  2 Ru 2.55

Results
Energy, eV per atom: -3.259
SG: Pm-3m (221)
Crystal system: cubic

=====

# 2
# KSmTl2Br6

KSmTl2Br6 after structural relaxation (PBE, Alexandria).

Unit cell a=8.1793 b=8.1793 c=8.4656 alpha=61.10 beta=61.10 gamma=59.97
With the nearest neighbours (Å) after each atom.
Fractional coordinates of all 10 atoms:
Br 0.6737 0.1221 0.7744  1 Sm 2.90
Br 0.1990 0.9825 0.2497  1 Sm 2.87
K 0.8149 0.8150 0.5548  6 Br 3.26-3.38
Br 0.5687 0.1991 0.2497  1 Sm 2.87
Tl 0.5280 0.5277 0.4168  6 Br 3.38-3.41
Br 0.1224 0.4298 0.7743  1 Sm 2.90
Tl 0.0203 0.0204 0.9393  6 Br 3.32-3.41
Br 0.4297 0.6734 0.7742  1 Sm 2.90
Sm 0.3226 0.3224 0.0324  6 Br 2.87-2.90
Br 0.9823 0.5691 0.2494  1 Sm 2.87

Results
Energy, eV per atom: -3.522
SG: R3 (146)
Crystal system: trigonal

=====

# 3
# LiLuIrRh

LiLuIrRh after structural relaxation (PBE, Alexandria).

Unit cell a=4.4887 b=4.4887 c=4.4887 alpha=60.00 beta=60.00 gamma=60.00
With the nearest neighbours (Å) after each atom.
Fractional coordinates of all 4 atoms:
Li 0.7500 0.7500 0.7500  4 Rh 2.75, 4 Ir 2.75
Rh 0.0000 0.0000 0.0000  4 Li 2.75, 4 Lu 2.75
Lu 0.2500 0.2500 0.2500  4 Ir 2.75, 4 Rh 2.75
Ir 0.5000 0.5000 0.5000  4 Li 2.75, 4 Lu 2.75

Results
Energy, eV per atom: -6.163
SG: F-43m (216)
Crystal system: cubic

=====

# 4
# Ta12Co3H5

Ta12Co3H5 after structural relaxation (PBE, Alexandria).

Unit cell a=11.3012 b=11.3012 c=11.3012 alpha=109.47 beta=109.47 gamma=109.47
With the nearest neighbours (Å) after each atom.
Fractional coordinates of all 80 atoms:
Ta 0.1183 0.4151 0.0944  2 H 1.94-2.11
Ta 0.6792 0.2032 0.5849  2 H 1.94-2.11
Ta 0.9151 0.8208 0.7968  2 H 1.94-2.11
H 0.7500 0.1250 0.8750  4 Ta 1.94
Ta 0.4761 0.6792 0.0944  2 H 1.94-2.11
Co 0.3750 0.7500 0.6250  8 Ta 2.52-2.60
Ta 0.0944 0.1792 0.4761  2 H 1.94-2.11
H 0.7500 0.6250 0.3750  4 Ta 1.94
Co 0.6250 0.3750 0.7500  8 Ta 2.52-2.60
H 0.5000 0.5000 0.5000  6 Ta 2.11
Ta 0.8208 0.9056 0.0239  2 H 1.94-2.11
Ta 0.4056 0.3817 0.5849  2 H 1.94-2.11
Ta 0.0849 0.9056 0.3817  2 H 1.94-2.11
H 0.6250 0.7500 0.8750  4 Ta 1.94
Ta 0.8817 0.5849 0.9056  2 H 1.94-2.11
Co 0.3750 0.6250 0.2500  8 Ta 2.52-2.60
H 0.3750 0.2500 0.1250  4 Ta 1.94
Ta 0.2032 0.6792 0.0849  2 H 1.94-2.11
H 0.0000 0.0000 0.0000  6 Ta 2.11
Ta 0.2968 0.4151 0.8208  2 H 1.94-2.11
Ta 0.1792 0.0849 0.7032  2 H 1.94-2.11
Ta 0.8817 0.2968 0.4761  2 H 1.94-2.11
H 0.5000 0.0000 0.0000  6 Ta 2.11
Ta 0.1792 0.0944 0.9761  2 H 1.94-2.11
Ta 0.3208 0.7968 0.4151  2 H 1.94-2.11
H 0.2500 0.3750 0.6250  4 Ta 1.94
H 0.1250 0.7500 0.3750  4 Ta 1.94
Ta 0.4056 0.0239 0.3208  2 H 1.94-2.11
Co 0.7500 0.3750 0.1250  8 Ta 2.52-2.60
Ta 0.0944 0.9151 0.1183  2 H 1.94-2.11
Ta 0.9056 0.8208 0.5239  2 H 1.94-2.11
H 0.3750 0.1250 0.7500  4 Ta 1.94
Ta 0.6183 0.5944 0.9151  2 H 1.94-2.11
Ta 0.2968 0.8817 0.9761  2 H 1.94-2.11
Ta 0.5849 0.7032 0.6792  2 H 1.94-2.11
Co 0.1250 0.8750 0.7500  8 Ta 2.52-2.60
Ta 0.8208 0.9151 0.2968  2 H 1.94-2.11
Ta 0.5239 0.2032 0.1183  2 H 1.94-2.11
Ta 0.7032 0.5849 0.1792  2 H 1.94-2.11
Ta 0.0239 0.4056 0.8208  2 H 1.94-2.11
Co 0.8750 0.7500 0.1250  8 Ta 2.52-2.60
H 0.5000 0.5000 0.0000  6 Ta 2.11
H 0.6250 0.8750 0.2500  4 Ta 1.94
Ta 0.6792 0.4761 0.5944  2 H 1.94-2.11
Co 0.8750 0.1250 0.2500  8 Ta 2.52-2.60
Ta 0.2032 0.5239 0.6183  2 H 1.94-2.11
Ta 0.3208 0.5239 0.4056  2 H 1.94-2.11
Ta 0.5944 0.6183 0.4151  2 H 1.94-2.11
Ta 0.3817 0.4056 0.0849  2 H 1.94-2.11
Ta 0.7032 0.1183 0.0239  2 H 1.94-2.11
Ta 0.9151 0.0944 0.6183  2 H 1.94-2.11
Ta 0.0239 0.6183 0.7032  2 H 1.94-2.11
H 0.0000 0.5000 0.0000  6 Ta 2.11
H 0.1250 0.3750 0.2500  4 Ta 1.94
Co 0.1250 0.2500 0.8750  8 Ta 2.52-2.60
Ta 0.9761 0.5944 0.1792  2 H 1.94-2.11
H 0.0000 0.5000 0.5000  6 Ta 2.11
Ta 0.7968 0.4761 0.3817  2 H 1.94-2.11
H 0.5000 0.0000 0.5000  6 Ta 2.11
H 0.2500 0.8750 0.1250  4 Ta 1.94
Ta 0.5239 0.3208 0.9056  2 H 1.94-2.11
Ta 0.5944 0.9761 0.6792  2 H 1.94-2.11
Ta 0.1183 0.7032 0.5239  2 H 1.94-2.11
Ta 0.4151 0.2968 0.3208  2 H 1.94-2.11
Co 0.7500 0.8750 0.6250  8 Ta 2.52-2.60
H 0.8750 0.6250 0.7500  4 Ta 1.94
Co 0.2500 0.6250 0.8750  8 Ta 2.52-2.60
H 0.8750 0.2500 0.6250  4 Ta 1.94
Co 0.6250 0.2500 0.3750  8 Ta 2.52-2.60
H 0.0000 0.0000 0.5000  6 Ta 2.11
Ta 0.6183 0.0239 0.2032  2 H 1.94-2.11
Ta 0.3817 0.9761 0.7968  2 H 1.94-2.11
Ta 0.7968 0.3208 0.9151  2 H 1.94-2.11
Ta 0.9056 0.0849 0.8817  2 H 1.94-2.11
Ta 0.4151 0.1183 0.5944  2 H 1.94-2.11
Ta 0.0849 0.1792 0.2032  2 H 1.94-2.11
Ta 0.4761 0.7968 0.8817  2 H 1.94-2.11
Ta 0.9761 0.3817 0.2968  2 H 1.94-2.11
Co 0.2500 0.1250 0.3750  8 Ta 2.52-2.60
Ta 0.5849 0.8817 0.4056  2 H 1.94-2.11

Results
Energy, eV per atom: -8.819
SG: Ia-3d (230)
Crystal system: cubic

=====

# 5
# K2SiTe

K2SiTe after structural relaxation (PBE, Alexandria).

Unit cell a=4.4201 b=5.4281 c=6.6316 alpha=65.91 beta=90.00 gamma=90.00
With the nearest neighbours (Å) after each atom.
Fractional coordinates of all 4 atoms:
Te 0.5000 0.5614 0.7531  2 Si 2.73
Si 0.0000 0.6932 0.4873  2 Te 2.73
K 0.0000 0.9869 0.9028  3 Si 3.54-3.70, 4 Te 3.62
K 0.5000 0.2585 0.3568  4 Si 3.59, 3 Te 3.62-3.66, 2 K 3.98

Results
Energy, eV per atom: -2.948
SG: Pm (6)
Crystal system: monoclinic

=====

# 6
# Cr2OsCl

Cr2OsCl after structural relaxation (PBE, Alexandria).

Unit cell a=2.7415 b=4.4081 c=4.4081 alpha=90.00 beta=90.00 gamma=90.00
With the nearest neighbours (Å) after each atom.
Fractional coordinates of all 4 atoms:
Cr 0.0000 0.5000 0.5000  4 Cl 2.60, 4 Os 2.60, 2 Cr 2.74
Cr 0.0000 0.0000 0.0000  4 Cl 2.60, 4 Os 2.60, 2 Cr 2.74
Cl 0.5000 0.0000 0.5000  8 Cr 2.60, 2 Cl 2.74
Os 0.5000 0.5000 0.0000  8 Cr 2.60, 2 Os 2.74

Results
Energy, eV per atom: -7.369
SG: P4/mmm (123)
Crystal system: tetragonal

=====

# 7
# YBe2Sb

YBe2Sb after structural relaxation (PBE, Alexandria).

Unit cell a=3.3155 b=3.3152 c=6.6730 alpha=90.00 beta=90.00 gamma=90.00
With the nearest neighbours (Å) after each atom.
Fractional coordinates of all 4 atoms:
Be 0.5000 0.5000 0.1995  4 Be 2.49, 1 Y 2.78
Y 0.5000 0.5000 0.7824  5 Be 2.78-3.04
Be 0.0000 0.0000 0.0729  1 Sb 2.48, 4 Be 2.49
Sb 0.0000 0.0000 0.4451  1 Be 2.48

Results
Energy, eV per atom: -4.338
SG: P4mm (99)
Crystal system: tetragonal

=====

# 8
# ScPdOF2

ScPdOF2 after structural relaxation (PBE, Alexandria).

Unit cell a=4.0729 b=4.0729 c=4.1557 alpha=90.00 beta=90.00 gamma=90.00
With the nearest neighbours (Å) after each atom.
Fractional coordinates of all 5 atoms:
Sc 0.0000 0.0000 0.0000  4 F 2.04, 2 O 2.08
F 0.5000 0.0000 0.0000  2 Sc 2.04
O 0.0000 0.0000 0.5000  2 Sc 2.08
F 0.0000 0.5000 0.0000  2 Sc 2.04
Pd 0.5000 0.5000 0.5000  4 O 2.88, 8 F 2.91

Results
Energy, eV per atom: -6.258
SG: P4/mmm (123)
Crystal system: tetragonal

=====

# 9
# Ac2PmPr

Ac2PmPr after structural relaxation (PBE, Alexandria).

Unit cell a=3.8666 b=3.8666 c=12.5507 alpha=81.14 beta=81.14 gamma=60.00
With the nearest neighbours (Å) after each atom.
Fractional coordinates of all 4 atoms:
Pm 0.4995 0.4995 0.5016  6 Ac 3.78-3.79, 6 Pm 3.87
Ac 0.0839 0.0839 0.7482  3 Pm 3.78, 3 Pr 3.80, 6 Ac 3.87
Ac 0.2488 0.2488 0.2535  3 Pm 3.79, 6 Ac 3.87, 3 Pr 3.88
Pr 0.6678 0.6678 0.9967  6 Ac 3.80-3.88, 6 Pr 3.87

Results
Energy, eV per atom: -4.403
SG: R3m (160)
Crystal system: trigonal

=====

# 10
# La2EuIr

La2EuIr after structural relaxation (PBE, Alexandria).

Unit cell a=3.6728 b=3.6728 c=9.7525 alpha=90.00 beta=90.00 gamma=90.00
With the nearest neighbours (Å) after each atom.
Fractional coordinates of all 4 atoms:
La 0.0000 0.0000 0.8308  4 Ir 3.08, 1 La 3.30
Eu 0.5000 0.5000 0.5000  4 Eu 3.67
Ir 0.5000 0.5000 0.0000  8 La 3.08
La 0.0000 0.0000 0.1692  4 Ir 3.08, 1 La 3.30

Results
Energy, eV per atom: -7.567
SG: P4/mmm (123)
Crystal system: tetragonal

=====

Q: What is the energy in the third record?
A: -6.163 eV per atom

=====

Q: Among the records above, which one has the lowest energy?
A: Ta12Co3H5

=====

Repeat the second record exactly.
# KSmTl2Br6

KSmTl2Br6 after structural relaxation (PBE, Alexandria).

Unit cell a=8.1793 b=8.1793 c=8.4656 alpha=61.10 beta=61.10 gamma=59.97
With the nearest neighbours (Å) after each atom.
Fractional coordinates of all 10 atoms:
Br 0.6737 0.1221 0.7744  1 Sm 2.90
Br 0.1990 0.9825 0.2497  1 Sm 2.87
K 0.8149 0.8150 0.5548  6 Br 3.26-3.38
Br 0.5687 0.1991 0.2497  1 Sm 2.87
Tl 0.5280 0.5277 0.4168  6 Br 3.38-3.41
Br 0.1224 0.4298 0.7743  1 Sm 2.90
Tl 0.0203 0.0204 0.9393  6 Br 3.32-3.41
Br 0.4297 0.6734 0.7742  1 Sm 2.90
Sm 0.3226 0.3224 0.0324  6 Br 2.87-2.90
Br 0.9823 0.5691 0.2494  1 Sm 2.87

Results
Energy, eV per atom: -3.522
SG: R3 (146)
Crystal system: trigonal

=====

Q: Which formula does entry 5 have?
A: K2SiTe